A relaxed structure of Ni2AsO, computed with PBE+U.

a = 3.9367 Å, b = 3.9367 Å, c = 3.9367 Å
α = 60.00°, β = 60.00°, γ = 60.00°
With the nearest neighbours (Å) after each atom.
Atoms (fractional coordinates):
Ni: 0.2500 0.2500 0.2500  4 O 2.41, 4 As 2.41
Ni: 0.7500 0.7500 0.7500  4 O 2.41, 4 As 2.41
As: 0.0000 0.0000 0.0000  8 Ni 2.41
O: 0.5000 0.5000 0.5000  8 Ni 2.41

Calculated values
- ΔE to the lowest computed polymorph (meV/atom) = 625.1